# LaBeFe2Si2 GGA-PBE relaxed
data_LaBeFe2Si2
_cell_length_a 4.034
_cell_length_b 4.034
_cell_length_c 5.456
_cell_angle_alpha 90.00
_cell_angle_beta 90.00
_cell_angle_gamma 90.00
_space_group_name_H-M_alt 'P 1'
_space_group_IT_number 1
loop_
_space_group_symop_operation_xyz
'x,y,z'
loop_
_atom_site_label
_atom_site_fract_x
_atom_site_fract_y
_atom_site_fract_z
_atom_site_occupancy
La1 0.000 0.000 0.000 1
Be1 0.000 0.000 0.500 1
Fe1 0.000 0.500 0.500 1
Fe2 0.500 0.000 0.500 1
Si1 0.500 0.500 0.261 1
Si2 0.500 0.500 0.739 1
# electronic total energy	-6.4643	eV per atom
# symmetry	P4/mmm (123)
# formation energy (no corrections)	-0.393	eV per atom